[1]
# Th4Ga2Ag PBE-GGA relaxed
data_Th4Ga2Ag
_symmetry_space_group_name_H-M 'R -3 m'
_symmetry_Int_Tables_number 166
_symmetry_space_group_name_Hall '-R 3 2"'
_cell_length_a 4.9849
_cell_length_b 4.9849
_cell_length_c 28.1189
_cell_angle_alpha 90.00
_cell_angle_beta 90.00
_cell_angle_gamma 120.00
loop_
_atom_site_label
_atom_site_type_symbol
_atom_site_fract_x
_atom_site_fract_y
_atom_site_fract_z
_atom_site_occupancy
Th1 Th 0.0000 0.0000 0.1193 1
Th2 Th 0.0000 0.0000 0.2953 1
Ga1 Ga 0.0000 0.0000 0.4063 1
Ag1 Ag 0.0000 0.0000 0.5000 1
# Calculated density ... 9677 kg/m³
# Total moment ... 0.00 Bohr magnetons per cell
# Uncorrected energy ... -5.55 eV per atom
# Formation energy from the elements ... -0.0429 eV per atom

---

[2]
# Cu2PtPb PBE-GGA relaxed
data_Cu2PtPb
_symmetry_space_group_name_H-M 'R 3 m'
_symmetry_Int_Tables_number 160
_symmetry_space_group_name_Hall 'R 3 -2"'
_cell_length_a 3.1024
_cell_length_b 3.1024
_cell_length_c 25.1751
_cell_angle_alpha 90.00
_cell_angle_beta 90.00
_cell_angle_gamma 120.00
loop_
_atom_site_label
_atom_site_type_symbol
_atom_site_fract_x
_atom_site_fract_y
_atom_site_fract_z
_atom_site_occupancy
Cu1 Cu 0.0000 0.0000 0.0000 1
Cu2 Cu 0.0000 0.0000 0.2651 1
Pt1 Pt 0.0000 0.0000 0.7428 1
Pb1 Pb 0.0000 0.0000 0.5034 1
# Calculated density ... 12567 kg/m³
# Total moment ... 0.00 Bohr magnetons per cell
# Uncorrected energy ... -4.21 eV per atom
# Formation energy from the elements ... 0.2705 eV per atom

---

[3]
# Al2AsIrO PBE-GGA relaxed
data_Al2AsIrO
_symmetry_space_group_name_H-M 'P 4/m m m'
_symmetry_Int_Tables_number 123
_symmetry_space_group_name_Hall '-P 4 2'
_cell_length_a 3.924
_cell_length_b 3.924
_cell_length_c 4.453
_cell_angle_alpha 90.00
_cell_angle_beta 90.00
_cell_angle_gamma 90.00
loop_
_atom_site_label
_atom_site_type_symbol
_atom_site_fract_x
_atom_site_fract_y
_atom_site_fract_z
_atom_site_occupancy
Al1 Al 0.000 0.500 0.000 1
As1 As 0.000 0.000 0.500 1
Ir1 Ir 0.500 0.500 0.500 1
O1 O 0.000 0.000 0.000 1
# Calculated density ... 8164 kg/m³
# Total moment ... 0.00 Bohr magnetons per cell
# Uncorrected energy ... -5.57 eV per atom
# Formation energy without anion corrections ... -0.38 eV per atom

---

[4]
# Tb4ErN4 PBE-GGA relaxed
data_Tb4ErN4
_symmetry_space_group_name_H-M 'I 4/m'
_symmetry_Int_Tables_number 87
_symmetry_space_group_name_Hall '-I 4'
_cell_length_a 7.829
_cell_length_b 7.829
_cell_length_c 4.952
_cell_angle_alpha 90.00
_cell_angle_beta 90.00
_cell_angle_gamma 90.00
loop_
_atom_site_label
_atom_site_type_symbol
_atom_site_fract_x
_atom_site_fract_y
_atom_site_fract_z
_atom_site_occupancy
Tb1 Tb 0.109 0.689 0.000 1
Er1 Er 0.000 0.000 0.500 1
N1 N 0.097 0.705 0.500 1
# Calculated density ... 9400 kg/m³
# Total moment ... 0.00 Bohr magnetons per cell
# Uncorrected energy ... -7.75 eV per atom
# Formation energy without anion corrections ... -1.49 eV per atom

---

[5]
# CsY2NbSe PBE-GGA relaxed
data_CsY2NbSe
_symmetry_space_group_name_H-M 'P 4/m m m'
_symmetry_Int_Tables_number 123
_symmetry_space_group_name_Hall '-P 4 2'
_cell_length_a 5.721
_cell_length_b 5.721
_cell_length_c 4.900
_cell_angle_alpha 90.00
_cell_angle_beta 90.00
_cell_angle_gamma 90.00
loop_
_atom_site_label
_atom_site_type_symbol
_atom_site_fract_x
_atom_site_fract_y
_atom_site_fract_z
_atom_site_occupancy
Cs1 Cs 0.000 0.000 0.000 1
Y1 Y 0.000 0.500 0.000 1
Nb1 Nb 0.000 0.000 0.500 1
Se1 Se 0.500 0.500 0.500 1
# Calculated density ... 4996 kg/m³
# Total moment ... 0.00 Bohr magnetons per cell
# Uncorrected energy ... -3.83 eV per atom
# Formation energy without anion corrections ... 1.64 eV per atom

---

[6]
# SrSbMoI2 PBE-GGA relaxed
data_SrSbMoI2
_symmetry_space_group_name_H-M 'P 4/m m m'
_symmetry_Int_Tables_number 123
_symmetry_space_group_name_Hall '-P 4 2'
_cell_length_a 5.673
_cell_length_b 5.673
_cell_length_c 5.373
_cell_angle_alpha 90.00
_cell_angle_beta 90.00
_cell_angle_gamma 90.00
loop_
_atom_site_label
_atom_site_type_symbol
_atom_site_fract_x
_atom_site_fract_y
_atom_site_fract_z
_atom_site_occupancy
Sr1 Sr 0.000 0.000 0.000 1
Sb1 Sb 0.500 0.500 0.000 1
Mo1 Mo 0.500 0.500 0.500 1
I1 I 0.000 0.500 0.500 1
# Calculated density ... 5370 kg/m³
# Total moment ... 2.34 Bohr magnetons per cell
# Excess energy over the best structure of this formula in the dataset ... 0.000 eV per atom
# Uncorrected energy ... -4.04 eV per atom
# Formation energy without anion corrections ... -0.09 eV per atom

---

[7]
# ZnTc2Hg PBE-GGA relaxed
data_ZnTc2Hg
_symmetry_space_group_name_H-M 'C m m 2'
_symmetry_Int_Tables_number 35
_cell_length_a 2.950
_cell_length_b 4.753
_cell_length_c 9.478
_cell_angle_alpha 90.00
_cell_angle_beta 90.00
_cell_angle_gamma 90.00
loop_
_symmetry_equiv_pos_as_xyz
'x,y,z'
'-x,-y,z'
'-x,y,z'
'x,-y,z'
'x+1/2,y+1/2,z'
'-x+1/2,-y+1/2,z'
'-x+1/2,y+1/2,z'
'x+1/2,-y+1/2,z'
loop_
_atom_site_label
_atom_site_type_symbol
_atom_site_fract_x
_atom_site_fract_y
_atom_site_fract_z
_atom_site_occupancy
Zn1 Zn 0.000 0.000 0.000 1
Tc1 Tc 0.000 0.000 0.455 1
Tc2 Tc 0.000 0.500 0.235 1
Hg1 Hg 0.000 0.500 0.730 1
# Calculated density ... 11545 kg/m³
# Total moment ... 0.00 Bohr magnetons per cell
# Excess energy over the best structure of this formula in the dataset ... 0.213 eV per atom
# Uncorrected energy ... -5.23 eV per atom
# Formation energy from the elements ... 0.3429 eV per atom

---

[8]
# LaMg2Zn2Ga2 PBE-GGA relaxed
data_LaMg2Zn2Ga2
_symmetry_space_group_name_H-M 'R -3 m'
_symmetry_Int_Tables_number 166
_symmetry_space_group_name_Hall '-R 3 2"'
_cell_length_a 4.4509
_cell_length_b 4.4509
_cell_length_c 25.5195
_cell_angle_alpha 90.00
_cell_angle_beta 90.00
_cell_angle_gamma 120.00
loop_
_atom_site_label
_atom_site_type_symbol
_atom_site_fract_x
_atom_site_fract_y
_atom_site_fract_z
_atom_site_occupancy
La1 La 0.0000 0.0000 0.0000 1
Mg1 Mg 0.0000 0.0000 0.1360 1
Zn1 Zn 0.0000 0.0000 0.4141 1
Ga1 Ga 0.0000 0.0000 0.2534 1
# Calculated density ... 5209 kg/m³
# Total moment ... 0.00 Bohr magnetons per cell
# Uncorrected energy ... -2.76 eV per atom
# Formation energy from the elements ... -0.3700 eV per atom

---

[9]
# ScTaReOs PBE-GGA relaxed
data_ScTaReOs
_symmetry_space_group_name_H-M 'F -4 3 m'
_symmetry_Int_Tables_number 216
_symmetry_space_group_name_Hall 'F -4 2 3'
_cell_length_a 6.401
_cell_length_b 6.401
_cell_length_c 6.401
_cell_angle_alpha 90.00
_cell_angle_beta 90.00
_cell_angle_gamma 90.00
loop_
_atom_site_label
_atom_site_type_symbol
_atom_site_fract_x
_atom_site_fract_y
_atom_site_fract_z
_atom_site_occupancy
Sc1 Sc 0.000 0.000 0.000 1
Ta1 Ta 0.000 0.000 0.500 1
Re1 Re 0.250 0.250 0.750 1
Os1 Os 0.250 0.250 0.250 1
# Calculated density ... 15256 kg/m³
# Total moment ... 0.00 Bohr magnetons per cell
# Uncorrected energy ... -10.82 eV per atom
# Formation energy from the elements ... -0.3575 eV per atom

---

[10]
# Cs3Cd2F9 PBE-GGA relaxed
data_Cs3Cd2F9
_symmetry_space_group_name_H-M 'P -3 m 1'
_symmetry_Int_Tables_number 164
_symmetry_space_group_name_Hall '-P 3 2"'
_cell_length_a 6.4460
_cell_length_b 6.4460
_cell_length_c 8.2249
_cell_angle_alpha 90.00
_cell_angle_beta 90.00
_cell_angle_gamma 120.00
loop_
_atom_site_label
_atom_site_type_symbol
_atom_site_fract_x
_atom_site_fract_y
_atom_site_fract_z
_atom_site_occupancy
Cs1 Cs 0.0000 0.0000 0.0000 1
Cs2 Cs 0.3333 0.6667 0.3663 1
Cd1 Cd 0.3333 0.6667 0.8506 1
F1 F 0.0000 0.5000 0.0000 1
F2 F 0.1779 0.3559 0.6986 1
# Calculated density ... 4458 kg/m³
# Total moment ... 2.08 Bohr magnetons per cell
# Uncorrected energy ... -3.65 eV per atom
# Formation energy without anion corrections ... -2.14 eV per atom

---

[11]
# TbHoNiRu PBE-GGA relaxed
data_TbHoNiRu
_symmetry_space_group_name_H-M 'F -4 3 m'
_symmetry_Int_Tables_number 216
_symmetry_space_group_name_Hall 'F -4 2 3'
_cell_length_a 6.781
_cell_length_b 6.781
_cell_length_c 6.781
_cell_angle_alpha 90.00
_cell_angle_beta 90.00
_cell_angle_gamma 90.00
loop_
_atom_site_label
_atom_site_type_symbol
_atom_site_fract_x
_atom_site_fract_y
_atom_site_fract_z
_atom_site_occupancy
Tb1 Tb 0.000 0.000 0.000 1
Ho1 Ho 0.000 0.000 0.500 1
Ni1 Ni 0.250 0.250 0.750 1
Ru1 Ru 0.250 0.250 0.250 1
# Calculated density ... 10302 kg/m³
# Total moment ... 0.00 Bohr magnetons per cell
# Excess energy over the best structure of this formula in the dataset ... 0.018 eV per atom
# Uncorrected energy ... -6.46 eV per atom
# Formation energy from the elements ... -0.3918 eV per atom

---

[12]
# YHfMg14 PBE-GGA relaxed
data_YHfMg14
_symmetry_space_group_name_H-M 'A m m 2'
_symmetry_Int_Tables_number 38
_cell_length_a 10.404
_cell_length_b 6.369
_cell_length_c 11.366
_cell_angle_alpha 90.00
_cell_angle_beta 90.00
_cell_angle_gamma 90.00
loop_
_symmetry_equiv_pos_as_xyz
'x,y,z'
'-x,-y,z'
'-x,y,z'
'x,-y,z'
'x,y+1/2,z+1/2'
'-x,-y+1/2,z+1/2'
'-x,y+1/2,z+1/2'
'x,-y+1/2,z+1/2'
loop_
_atom_site_label
_atom_site_type_symbol
_atom_site_fract_x
_atom_site_fract_y
_atom_site_fract_z
_atom_site_occupancy
Y1 Y 0.000 0.000 0.000 1
Hf1 Hf 0.000 0.000 0.488 1
Mg1 Mg 0.000 0.247 0.747 1
Mg2 Mg 0.243 0.000 0.654 1
Mg3 Mg 0.252 0.247 0.409 1
Mg4 Mg 0.255 0.000 0.162 1
Mg5 Mg 0.500 0.000 0.496 1
Mg6 Mg 0.500 0.000 0.996 1
Mg7 Mg 0.500 0.247 0.746 1
# Calculated density ... 2680 kg/m³
# Total moment ... 0.00 Bohr magnetons per cell
# Excess energy over the best structure of this formula in the dataset ... 0.000 eV per atom
# Uncorrected energy ... -2.38 eV per atom
# Formation energy from the elements ... 0.0418 eV per atom

---

[13]
# AlReNi2 PBE-GGA relaxed
data_AlReNi2
_symmetry_space_group_name_H-M 'P 4/m m m'
_symmetry_Int_Tables_number 123
_symmetry_space_group_name_Hall '-P 4 2'
_cell_length_a 4.344
_cell_length_b 4.344
_cell_length_c 2.690
_cell_angle_alpha 90.00
_cell_angle_beta 90.00
_cell_angle_gamma 90.00
loop_
_atom_site_label
_atom_site_type_symbol
_atom_site_fract_x
_atom_site_fract_y
_atom_site_fract_z
_atom_site_occupancy
Al1 Al 0.000 0.000 0.000 1
Re1 Re 0.500 0.500 0.000 1
Ni1 Ni 0.000 0.500 0.500 1
# Calculated density ... 10813 kg/m³
# Total moment ... 0.00 Bohr magnetons per cell
# Uncorrected energy ... -7.07 eV per atom
# Formation energy from the elements ... -0.1298 eV per atom